No. 1
A geometry-optimized LaTlBPd2 structure, computed with GGA-PBE.

Cell: 5.1653 6.3131 5.1653 Å, 90.00 90.00 90.00°
Sites, in units of the cell vectors:
Tl: 0.0000 0.5000 0.0000
Pd: 0.5000 0.0000 0.0000
Pd: 0.0000 0.0000 0.5000
La: 0.0000 0.0000 0.0000
B: 0.5000 0.5000 0.5000

No. 2
A geometry-optimized LaVB2Pd structure, computed with GGA-PBE.

Cell: 4.6463 5.0661 4.6463 Å, 90.00 90.00 90.00°
Sites, in units of the cell vectors:
Pd: 0.0000 0.5000 0.0000
V: 0.5000 0.5000 0.5000
B: 0.5000 0.0000 0.0000
B: 0.0000 0.0000 0.5000
La: 0.0000 0.0000 0.0000

No. 3
A geometry-optimized LaZnBPd6 structure, computed with GGA-PBE.

Cell: 5.8863 9.1182 7.8701 Å, 125.40 111.96 90.00°
Sites, in units of the cell vectors:
B: 0.5000 0.5000 0.0000
B: 0.5000 0.0000 0.0000
Pd: 0.1267 0.3621 0.7470
Pd: 0.8733 0.6379 0.2530
Pd: 0.6204 0.8849 0.7470
Pd: 0.4626 0.7126 0.9252
Pd: 0.5374 0.2874 0.0748
Pd: 0.6204 0.3621 0.7470
Pd: 0.3796 0.1151 0.2530
Pd: 0.3796 0.6379 0.2530
Pd: 0.1267 0.8849 0.7470
Pd: 0.0599 0.8099 0.1198
Pd: 0.8733 0.1151 0.2530
Pd: 0.9401 0.1901 0.8802
Zn: 0.5000 0.0000 0.5000
Zn: 0.0000 0.0000 0.5000
La: 0.1798 0.4298 0.3596
La: 0.8202 0.5702 0.6404

No. 4
A geometry-optimized La2ZnBPd6 structure, computed with GGA-PBE.

Cell: 5.7608 7.4197 8.8032 Å, 90.00 90.00 90.00°
Sites, in units of the cell vectors:
La: 0.5000 0.7180 0.2793
La: 0.0000 0.2820 0.2207
La: 0.0000 0.2820 0.7793
La: 0.5000 0.7180 0.7207
Pd: 0.5000 0.1475 0.7415
Pd: 0.7438 0.3974 0.5000
Pd: 0.0000 0.8525 0.7585
Pd: 0.7377 0.0131 0.0000
Pd: 0.0000 0.8525 0.2415
Pd: 0.7562 0.6026 0.0000
Pd: 0.7623 0.9869 0.5000
Pd: 0.2377 0.9869 0.5000
Pd: 0.5000 0.1475 0.2585
Pd: 0.2623 0.0131 0.0000
Pd: 0.2438 0.6026 0.0000
Pd: 0.2562 0.3974 0.5000
B: 0.0000 0.8148 0.0000
B: 0.5000 0.1852 0.5000
Zn: 0.0000 0.6786 0.5000
Zn: 0.5000 0.3214 0.0000

What energy of formation from the pure elements values result from the calculations? In sequence: 1481, 2232, -364, -685 meV/atom.
What density of states at the Fermi level values result from the calculations? In sequence: 4.7, 8.0, 7.0, 6.2 states/eV per cell.